Entry from Alexandria: a relaxed structure of K4Pr3SmSe8 (PBE).

Output
formation energy from raw total energies: -169.0 kJ per mole of atoms
symmetry: No. 166

Unit cell a=9.2100 b=9.2100 c=9.2100 alpha=56.52 beta=56.52 gamma=56.52
Fractional positions:
K (0.0000, 0.0000, 0.0000)
K (0.0000, 0.5000, 0.5000)
K (0.5000, 0.0000, 0.5000)
K (0.5000, 0.5000, 0.0000)
Pr (0.0000, 0.0000, 0.5000)
Pr (0.0000, 0.5000, 0.0000)
Pr (0.5000, 0.0000, 0.0000)
Sm (0.5000, 0.5000, 0.5000)
Se (0.2376, 0.2376, 0.2376)
Se (0.2412, 0.7348, 0.7348)
Se (0.2652, 0.2652, 0.7588)
Se (0.2652, 0.7588, 0.2652)
Se (0.7348, 0.2412, 0.7348)
Se (0.7348, 0.7348, 0.2412)
Se (0.7588, 0.2652, 0.2652)
Se (0.7624, 0.7624, 0.7624)

Entry from Alexandria: a relaxed structure of Ac5AgOs2 (PBE).

Output
ΔH_f (0 K): -113 meV per atom
symmetry: No. 140

Unit cell a=9.4201 b=9.4201 c=9.4201 alpha=127.36 beta=127.36 gamma=77.67
Fractional positions:
Ac (0.0000, 0.0000, 0.0000)
Ac (0.0290, 0.5290, 0.8189)
Ac (0.2101, 0.0290, 0.5000)
Ac (0.2899, 0.7899, 0.8189)
Ac (0.4710, 0.2899, 0.5000)
Ac (0.5000, 0.5000, 0.0000)
Ac (0.5290, 0.7101, 0.5000)
Ac (0.7101, 0.2101, 0.1811)
Ac (0.7899, 0.9710, 0.5000)
Ac (0.9710, 0.4710, 0.1811)
Ag (0.2500, 0.2500, 0.0000)
Ag (0.7500, 0.7500, 0.0000)
Os (0.1391, 0.3609, 0.5000)
Os (0.3609, 0.8609, 0.2218)
Os (0.6391, 0.1391, 0.7782)
Os (0.8609, 0.6391, 0.5000)

Entry from Alexandria: a relaxed structure of Li2NiHPt (PBE).

Output
distance to the lowest polymorph of the same formula: 0.00 eV/f.u.
symmetry: No. 123

Unit cell a=3.7843 b=3.7843 c=3.5925 alpha=90.00 beta=90.00 gamma=90.00
Fractional positions:
Li (0.0000, 0.5000, 0.0000)
Li (0.5000, 0.0000, 0.0000)
Ni (0.0000, 0.0000, 0.5000)
H (0.0000, 0.0000, 0.0000)
Pt (0.5000, 0.5000, 0.5000)

Number 1: calculated total energy -4.96 eV per atom. Number 2: calculated total energy -5.84 eV per atom. Number 3: calculated total energy -4.09 eV per atom.